Crystalline SmEr6Th2 at its relaxed geometry, computed with PBE-GGA.

Properties
magnetic moment: 0.0 μB per cell
total energy: -5.139 eV per atom
space-group type: P-6m2 (187)
E_form: 7.3 kJ per mole of atoms

Lattice parameters (Å, degrees): 3.5527 3.5527 26.1764 90.00 90.00 120.00
Last column: nearest neighbours and their distance in Å.
Fractional positions:
1 Sm 0.0000 0.0000 0.0000  6 Sm 3.55, 6 Er 3.56
2 Er 0.0000 0.0000 0.2175  9 Er 3.46-3.55, 3 Th 3.58
3 Er 0.0000 0.0000 0.4370  7 Er 3.30-3.55, 3 Th 3.48
4 Er 0.0000 0.0000 0.5629  7 Er 3.30-3.55, 3 Th 3.48
5 Er 0.0000 0.0000 0.7825  9 Er 3.46-3.55, 3 Th 3.58
6 Er 0.3333 0.6667 0.1111  9 Er 3.46-3.55, 3 Sm 3.56
7 Er 0.3333 0.6667 0.8889  9 Er 3.46-3.55, 3 Sm 3.56
8 Th 0.3333 0.6667 0.3298  6 Er 3.48-3.58, 6 Th 3.55
9 Th 0.3333 0.6667 0.6702  6 Er 3.48-3.58, 6 Th 3.55